The following is a DFT calculation (GGA-PBE) of a relaxed structure of Pm2SmSn6.

**Magnetic moment**: 0.00 μB per formula unit
**Formation enthalpy at 0 K**: -489 meV per atom
**DOS at the Fermi energy**: 0.6310 states/eV per atom
**Crystal system**: orthorhombic
**Final energy**: -4.74 eV per atom

a b c (Å): 4.4892 9.5126 9.5126
angles (deg): 42.96 76.33 76.33
Positions (direct):
Sm 0.0526 0.9476 0.9476
Sn 0.3037 0.4071 0.9859
Sn 0.6863 0.0251 0.6016
Sn 0.3037 0.9859 0.4071
Sn 0.4886 0.7284 0.2945
Sn 0.6863 0.6016 0.0251
Sn 0.4886 0.2945 0.7284
Pm 0.8790 0.6210 0.6210
Pm 0.1113 0.3887 0.3887


The following is a DFT calculation (GGA-PBE) of a relaxed structure of CeSm2Mg.

**Magnetic moment**: 0.47 μB per formula unit
**Formation enthalpy at 0 K**: 65 meV per atom
**Polymorph energy (0 for the lowest one)**: 0.27 eV per formula unit
**DOS at the Fermi energy**: 1.9234 states/eV per atom
**Crystal system**: tetragonal
**Final energy**: -4.18 eV per atom

a b c (Å): 3.6601 5.6876 5.6876
angles (deg): 90.00 90.00 90.00
Each line ends with the local moment (μB).
Positions (direct):
Sm 0.0000 0.0000 0.5000  0.02
Sm 0.0000 0.5000 0.0000  0.02
Mg 0.5000 0.0000 0.0000  0.00
Ce 0.5000 0.5000 0.5000  0.35


The following is a DFT calculation (GGA-PBE) of a relaxed structure of LiNi2P.

**Magnetic moment**: 0.00 μB per formula unit
**Formation enthalpy at 0 K**: -236 meV per atom
**DOS at the Fermi energy**: 0.7500 states/eV per atom
**Crystal system**: cubic
**Final energy**: -4.96 eV per atom

a b c (Å): 3.9448 3.9448 3.9448
angles (deg): 60.00 60.00 60.00
Positions (direct):
Ni 0.2500 0.2500 0.2500
P 0.7500 0.7500 0.7500
Ni 0.0000 0.0000 0.0000
Li 0.5000 0.5000 0.5000